(1)
Entry from the Alexandria database: LiNpV2O8 after structural relaxation (PBE with a Hubbard U).

```
LiNpV2O8
1.0
5.895 0.045 0.000
-2.575 5.304 0.000
-1.660 -2.674 4.985
Li Np V O
1 1 2 8
Direct
0.000 0.000 0.000 Li
0.250 0.750 0.500 Np
0.750 0.250 0.500 V
0.500 0.500 0.000 V
0.381 0.064 0.316 O
0.335 0.532 0.198 O
0.335 0.137 0.802 O
0.748 0.064 0.684 O
0.863 0.665 0.198 O
0.936 0.252 0.316 O
0.936 0.619 0.684 O
0.468 0.665 0.802 O
```

Output
As for the space-group type: I-4m2, No. 119. For the total energy, the calculation gives -94.987 eV/f.u.


(2)
Entry from the Alexandria database: LiNp2VO8 after structural relaxation (PBE with a Hubbard U).

```
LiNp2VO8
1.0
-3.849 -0.931 -2.494
-1.863 -2.303 3.623
-2.880 5.871 2.254
Li Np V O
1 2 1 8
Direct
0.000 0.000 0.500 Li
0.500 0.500 0.748 Np
0.500 0.500 0.252 Np
0.000 0.000 0.000 V
0.204 0.796 0.233 O
0.702 0.703 0.000 O
0.796 0.204 0.234 O
0.796 0.204 0.767 O
0.298 0.297 0.000 O
0.204 0.796 0.766 O
0.688 0.688 0.500 O
0.312 0.312 0.500 O
```

Output
As for the space-group type: Cmmm, No. 65. For the total energy, the calculation gives -105.096 eV/f.u.


(3)
Entry from the Alexandria database: LiNpWO6 after structural relaxation (PBE with a Hubbard U).

```
LiNpWO6
1.0
5.495 0.000 0.000
-2.748 4.759 0.000
0.000 0.000 9.373
Li Np W O
2 2 2 12
Direct
0.000 0.000 0.000 Li
0.000 0.000 0.500 Li
0.333 0.667 0.250 Np
0.667 0.333 0.750 Np
0.667 0.333 0.250 W
0.333 0.667 0.750 W
0.645 0.633 0.139 O
0.988 0.355 0.139 O
0.355 0.988 0.639 O
0.012 0.645 0.861 O
0.367 0.355 0.361 O
0.988 0.633 0.361 O
0.633 0.988 0.861 O
0.645 0.012 0.361 O
0.012 0.367 0.639 O
0.367 0.012 0.139 O
0.633 0.645 0.639 O
0.355 0.367 0.861 O
```

Output
As for the space-group type: P-31c, No. 163. For the total energy, the calculation gives -72.530 eV/f.u.


Number 2 is which compound? LiNp2VO8